1.
Density functional theory data (PBE-GGA) for a relaxed KYSi crystal.

Output
energy relative to the lowest polymorph listed for this composition: 0.477 eV/atom
energy relative to the elements, uncorrected: 0.147 eV/atom

Cell lengths 4.854, 4.854, 5.595 Å; angles 90.00, 90.00, 120.00 degrees
Atoms (fractional coordinates):
K: 0.000 0.000 0.000
Y: 0.333 0.667 0.500
Si: 0.667 0.333 0.500


2.
Density functional theory data (PBE-GGA) for a relaxed KYSi crystal.

Output
energy relative to the lowest polymorph listed for this composition: 0.283 eV/atom
energy relative to the elements, uncorrected: -0.047 eV/atom

Cell lengths 4.012, 4.012, 13.271 Å; angles 90.00, 90.00, 90.00 degrees
Atoms (fractional coordinates):
K: 0.000 0.000 0.000
K: 0.500 0.500 0.500
Y: 0.000 0.000 0.262
Y: 0.500 0.500 0.762
Si: 0.000 0.000 0.735
Si: 0.500 0.500 0.235


3.
Density functional theory data (PBE-GGA) for a relaxed KZn2Si2 crystal.

Output
energy relative to the lowest polymorph listed for this composition: 0.255 eV/atom
energy relative to the elements, uncorrected: 0.258 eV/atom

Cell lengths 8.204, 8.204, 2.794 Å; angles 90.00, 90.00, 90.00 degrees
Atoms (fractional coordinates):
K: 0.000 0.000 0.000
K: 0.500 0.500 0.000
Zn: 0.133 0.367 0.000
Zn: 0.367 0.867 0.000
Zn: 0.633 0.133 0.000
Zn: 0.867 0.633 0.000
Si: 0.152 0.652 0.500
Si: 0.348 0.152 0.500
Si: 0.652 0.848 0.500
Si: 0.848 0.348 0.500


4.
Density functional theory data (PBE-GGA) for a relaxed K4ZnSi crystal.

Output
energy relative to the elements, uncorrected: 0.609 eV/atom

Cell lengths 6.997, 6.997, 6.997 Å; angles 60.00, 60.00, 60.00 degrees
Atoms (fractional coordinates):
K: 0.124 0.124 0.124
K: 0.124 0.124 0.628
K: 0.124 0.628 0.124
K: 0.628 0.124 0.124
Zn: 0.500 0.500 0.500
Si: 0.750 0.750 0.750


5.
Density functional theory data (PBE-GGA) for a relaxed KZnSi2 crystal.

Output
energy relative to the elements, uncorrected: 0.695 eV/atom

Cell lengths 4.112, 4.112, 10.130 Å; angles 90.00, 90.00, 90.00 degrees
Atoms (fractional coordinates):
K: 0.000 0.000 0.000
K: 0.500 0.500 0.500
Zn: 0.000 0.000 0.500
Zn: 0.500 0.500 0.000
Si: 0.000 0.500 0.250
Si: 0.000 0.500 0.750
Si: 0.500 0.000 0.250
Si: 0.500 0.000 0.750


6.
Density functional theory data (PBE-GGA) for a relaxed KZnSi4 crystal.

Output
energy relative to the elements, uncorrected: 0.417 eV/atom

Cell lengths 5.384, 5.384, 5.384 Å; angles 60.00, 60.00, 60.00 degrees
Atoms (fractional coordinates):
K: 0.000 0.000 0.000
Zn: 0.250 0.250 0.250
Si: 0.129 0.624 0.624
Si: 0.624 0.129 0.624
Si: 0.624 0.624 0.129
Si: 0.624 0.624 0.624


7.
Density functional theory data (PBE-GGA) for a relaxed KZnSi2 crystal.

Output
energy relative to the elements, uncorrected: 0.131 eV/atom

Cell lengths 3.781, 4.107, 6.741 Å; angles 90.00, 103.77, 90.00 degrees
Atoms (fractional coordinates):
K: 0.000 0.000 0.000
Zn: 0.500 0.000 0.500
Si: 0.288 0.500 0.629
Si: 0.712 0.500 0.371


8.
Density functional theory data (PBE-GGA) for a relaxed KZnSi2 crystal.

Output
energy relative to the elements, uncorrected: 0.177 eV/atom

Cell lengths 3.893, 3.893, 22.678 Å; angles 90.00, 90.00, 120.00 degrees
Atoms (fractional coordinates):
K: 0.000 0.000 0.000
K: 0.333 0.667 0.667
K: 0.667 0.333 0.333
Zn: 0.000 0.000 0.780
Zn: 0.333 0.667 0.447
Zn: 0.667 0.333 0.114
Si: 0.000 0.000 0.221
Si: 0.000 0.000 0.516
Si: 0.333 0.667 0.183
Si: 0.333 0.667 0.888
Si: 0.667 0.333 0.554
Si: 0.667 0.333 0.849


| no. | calculated volume (Å³ per atom) |
| --- | --- |
| 1 | 38.1 |
| 2 | 35.6 |
| 3 | 18.8 |
| 4 | 40.4 |
| 5 | 21.4 |
| 6 | 18.4 |
| 7 | 25.4 |
| 8 | 24.8 |